Computed, not measured: an optimized crystal structure of MgReNO2 at the PBE level of DFT.

Structure (CIF):
```
data_MgReNO2
_chemical_formula_sum 'Mg1 Re1 N1 O2'
_space_group_name_H-M_alt 'P 4/m m m'
_space_group_IT_number 123
_space_group_name_Hall '-P 4 2'
_cell_length_a 3.6792
_cell_length_b 3.6792
_cell_length_c 3.9806
_cell_angle_alpha 90.00
_cell_angle_beta 90.00
_cell_angle_gamma 90.00
loop_
_atom_site_label
_atom_site_fract_x
_atom_site_fract_y
_atom_site_fract_z
Mg1 0.0000 0.0000 0.0000
Re1 0.5000 0.5000 0.5000
N1 0.0000 0.0000 0.5000
O1 0.0000 0.5000 0.0000
```

Output
The value obtained for the formation energy without anion corrections is 2.78 eV/f.u. The density of states at the Fermi level is 3.4 states/eV per cell. As for the total DFT energy (no corrections): -29.5 eV per formula unit.